This record from the Alexandria database describes a relaxed Hf4AlIn crystal. The functional is GGA-PBE.

Lattice parameters (Å, degrees): 5.417 6.893 6.893 90.00 90.00 90.00
Element x y z (fractional)
Hf 0.000 0.159 0.642
Hf 0.000 0.841 0.358
Hf 0.000 0.358 0.159
Hf 0.000 0.642 0.841
Hf 0.500 0.841 0.642
Hf 0.500 0.159 0.358
Hf 0.500 0.642 0.159
Hf 0.500 0.358 0.841
Al 0.250 0.500 0.500
Al 0.750 0.500 0.500
In 0.250 0.000 0.000
In 0.750 0.000 0.000

Calculated values
* density of states at the Fermi level: 14.74 states/eV per cell
* distance to the lowest polymorph of the same formula: 56 meV/atom
* mass density: 11.044 Mg/m³
* formation enthalpy at 0 K: -0.139 eV per atom

This record from the Alexandria database describes a relaxed FePd5Pt2 crystal. The functional is GGA-PBE.

Lattice parameters (Å, degrees): 3.881 5.578 11.180 90.00 90.00 90.00
Element x y z (fractional)
Fe 0.000 0.000 0.500
Fe 0.000 0.500 0.000
Pd 0.000 0.000 0.000
Pd 0.000 0.500 0.500
Pd 0.000 0.501 0.755
Pd 0.000 0.499 0.245
Pd 0.000 0.999 0.255
Pd 0.000 0.001 0.745
Pd 0.500 0.252 0.877
Pd 0.500 0.748 0.123
Pd 0.500 0.248 0.377
Pd 0.500 0.752 0.623
Pt 0.500 0.245 0.621
Pt 0.500 0.755 0.379
Pt 0.500 0.255 0.121
Pt 0.500 0.745 0.879

Calculated values
* density of states at the Fermi level: 21.49 states/eV per cell
* distance to the lowest polymorph of the same formula: 0 meV/atom
* mass density: 13.421 Mg/m³
* formation enthalpy at 0 K: -0.093 eV per atom

This record from the Alexandria database describes a relaxed NaInSn2Te4 crystal. The functional is GGA-PBE.

Lattice parameters (Å, degrees): 4.449 7.667 7.773 71.49 90.00 90.00
Element x y z (fractional)
Na 0.000 0.500 0.500
In 0.500 0.500 0.000
Sn 0.000 0.000 0.000
Sn 0.500 0.000 0.500
Te 0.000 0.747 0.754
Te 0.000 0.253 0.246
Te 0.500 0.750 0.244
Te 0.500 0.250 0.756

Calculated values
* density of states at the Fermi level: 4.39 states/eV per cell
* formation energy (no corrections): -0.386 eV per atom
* mass density: 5.849 Mg/m³

This record from the Alexandria database describes a relaxed BaHg3Te crystal. The functional is GGA-PBE.

Lattice parameters (Å, degrees): 6.348 6.348 6.348 90.00 90.00 90.00
Element x y z (fractional)
Te 0.500 0.500 0.500
Hg 0.000 0.500 0.000
Hg 0.000 0.000 0.500
Hg 0.500 0.000 0.000
Ba 0.000 0.000 0.000

Calculated values
* density of states at the Fermi level: 5.06 states/eV per cell
* distance to the lowest polymorph of the same formula: 274 meV/atom
* formation energy (no corrections): 0.238 eV per atom
* mass density: 5.627 Mg/m³

This record from the Alexandria database describes a relaxed Pm15Sm4Al crystal. The functional is GGA-PBE.

Lattice parameters (Å, degrees): 5.080 5.080 25.710 90.00 90.00 90.00
Element x y z (fractional)
Pm 0.500 0.500 0.000
Pm 0.500 0.500 0.194
Pm 0.500 0.500 0.398
Pm 0.500 0.500 0.602
Pm 0.500 0.500 0.806
Pm 0.500 0.000 0.093
Pm 0.500 0.000 0.296
Pm 0.500 0.000 0.500
Pm 0.500 0.000 0.704
Pm 0.500 0.000 0.907
Pm 0.000 0.500 0.093
Pm 0.000 0.500 0.296
Pm 0.000 0.500 0.500
Pm 0.000 0.500 0.704
Pm 0.000 0.500 0.907
Sm 0.000 0.000 0.195
Sm 0.000 0.000 0.399
Sm 0.000 0.000 0.601
Sm 0.000 0.000 0.805
Al 0.000 0.000 0.000

Calculated values
* density of states at the Fermi level: 26.80 states/eV per cell
* mass density: 7.017 Mg/m³
* formation enthalpy at 0 K: -0.011 eV per atom

This record from the Alexandria database describes a relaxed PmZn2OsO8 crystal. The functional is GGA-PBE.

Lattice parameters (Å, degrees): 4.735 4.592 6.678 90.00 90.00 90.79
Element x y z (fractional)
Pm 0.000 0.000 0.500
Zn 0.500 0.500 0.759
Zn 0.500 0.500 0.241
Os 0.000 0.000 0.000
O 0.151 0.767 0.204
O 0.679 0.755 0.000
O 0.849 0.233 0.204
O 0.849 0.233 0.796
O 0.321 0.245 0.000
O 0.151 0.767 0.796
O 0.556 0.749 0.500
O 0.444 0.251 0.500

Calculated values
* density of states at the Fermi level: 1.65 states/eV per cell
* formation energy (no corrections): -1.372 eV per atom
* mass density: 6.795 Mg/m³

This record from the Alexandria database describes a relaxed AgPbBr3 crystal. The functional is GGA-PBE.

Lattice parameters (Å, degrees): 7.366 7.859 11.366 90.00 84.73 90.00
Element x y z (fractional)
Ag 0.454 0.629 0.099
Ag 0.046 0.129 0.401
Ag 0.546 0.371 0.901
Ag 0.954 0.871 0.599
Pb 0.928 0.621 0.240
Pb 0.572 0.121 0.260
Pb 0.072 0.379 0.760
Pb 0.428 0.879 0.740
Br 0.221 0.647 0.580
Br 0.279 0.147 0.920
Br 0.779 0.353 0.420
Br 0.721 0.853 0.080
Br 0.786 0.092 0.748
Br 0.714 0.592 0.752
Br 0.214 0.908 0.252
Br 0.286 0.408 0.248
Br 0.715 0.843 0.426
Br 0.785 0.343 0.074
Br 0.285 0.157 0.574
Br 0.215 0.657 0.926

Calculated values
* density of states at the Fermi level: 0.00 states/eV per cell
* formation energy (no corrections): -0.646 eV per atom
* mass density: 5.624 Mg/m³

This record from the Alexandria database describes a relaxed Lu2BiRu crystal. The functional is GGA-PBE.

Lattice parameters (Å, degrees): 3.380 3.380 8.319 90.00 90.00 90.00
Element x y z (fractional)
Ru 0.500 0.500 0.000
Lu 0.000 0.000 0.807
Lu 0.000 0.000 0.193
Bi 0.500 0.500 0.500

Calculated values
* density of states at the Fermi level: 0.97 states/eV per cell
* distance to the lowest polymorph of the same formula: 0 meV/atom
* mass density: 11.530 Mg/m³
* formation enthalpy at 0 K: -0.588 eV per atom

This record from the Alexandria database describes a relaxed Pm6PrHo12 crystal. The functional is GGA-PBE.

Lattice parameters (Å, degrees): 8.726 8.726 8.726 98.70 98.70 98.70
Element x y z (fractional)
Pm 0.901 0.346 0.901
Pm 0.901 0.901 0.346
Pm 0.346 0.901 0.901
Pm 0.099 0.099 0.654
Pm 0.099 0.654 0.099
Pm 0.654 0.099 0.099
Pr 0.000 0.000 0.000
Ho 0.757 0.243 0.500
Ho 0.356 0.081 0.356
Ho 0.356 0.356 0.081
Ho 0.919 0.644 0.644
Ho 0.644 0.644 0.919
Ho 0.644 0.919 0.644
Ho 0.500 0.757 0.243
Ho 0.243 0.500 0.757
Ho 0.243 0.757 0.500
Ho 0.500 0.243 0.757
Ho 0.757 0.500 0.243
Ho 0.081 0.356 0.356

Calculated values
* density of states at the Fermi level: 31.99 states/eV per cell
* distance to the lowest polymorph of the same formula: 98 meV/atom
* mass density: 7.773 Mg/m³
* formation enthalpy at 0 K: 0.212 eV per atom

This record from the Alexandria database describes a relaxed InFePt2 crystal. The functional is GGA-PBE.

Lattice parameters (Å, degrees): 4.943 4.943 4.821 80.06 80.06 34.02
Element x y z (fractional)
Fe 0.495 0.495 0.540
In 0.250 0.250 0.226
Pt 0.001 0.001 0.019
Pt 0.754 0.754 0.714

Calculated values
* density of states at the Fermi level: 2.83 states/eV per cell
* mass density: 14.372 Mg/m³
* formation enthalpy at 0 K: -0.198 eV per atom

This record from the Alexandria database describes a relaxed Pr5TaN8 crystal. The functional is GGA-PBE.

Lattice parameters (Å, degrees): 6.433 6.433 6.433 108.26 111.93 108.26
Element x y z (fractional)
Pr 0.004 0.362 0.102
Pr 0.898 0.902 0.259
Pr 0.741 0.638 0.643
Pr 0.500 0.000 0.500
Pr 0.357 0.098 0.996
Ta 0.250 0.500 0.750
N 0.139 0.721 0.028
N 0.972 0.111 0.693
N 0.880 0.369 0.427
N 0.573 0.453 0.942
N 0.489 0.547 0.120
N 0.582 0.889 0.861
N 0.307 0.279 0.418
N 0.058 0.631 0.511

Calculated values
* formation energy (no corrections): -0.858 eV per atom
* mass density: 8.096 Mg/m³

Number 1: magnetization 0.0 μB/f.u.. Number 2: magnetization 5.3 μB/f.u.. Number 3: magnetization 0.0 μB/f.u.. Number 4: magnetization 0.1 μB/f.u.. Number 5: magnetization 0.0 μB/f.u.. Number 6: magnetization 0.1 μB/f.u.. Number 7: magnetization 0.0 μB/f.u.. Number 8: magnetization 0.0 μB/f.u.. Number 9: magnetization 0.0 μB/f.u.. Number 10: magnetization 3.3 μB/f.u.. Number 11: magnetization 0.0 μB/f.u..